Compound: Sr2MgAl
Source: the Alexandria database
Functional: PBEsol
Structure: relaxed

**Symmetry**: No. 6
**E_tot**: -2.429 eV/atom
**Crystal system**: monoclinic
**Calculated formation energy**: -56 meV per atom

POSCAR file:
```
Sr2MgAl
1.0
4.098 0.000 -0.038
0.000 5.084 0.000
-1.981 0.000 6.476
Al Mg Sr
1 1 2
Cartesian
0.292 0.000 3.222
0.305 2.542 4.790
2.330 2.542 2.057
-1.731 0.000 6.066
```